No. 1
A relaxed PaNiAu2 crystal, computed with PBE.

Structure (CIF):
```
data_PaNiAu2
_cell_length_a 3.950
_cell_length_b 9.602
_cell_length_c 7.868
_cell_angle_alpha 90.00
_cell_angle_beta 90.00
_cell_angle_gamma 90.00
_symmetry_space_group_name_H-M 'C m c m'
_symmetry_Int_Tables_number 63
_symmetry_space_group_name_Hall '-C 2c 2'
loop_
_atom_site_label
_atom_site_type_symbol
_atom_site_fract_x
_atom_site_fract_y
_atom_site_fract_z
Pa1 Pa 0.000 0.064 0.250
Ni1 Ni 0.000 0.246 0.750
Au1 Au 0.000 0.361 0.059
```

Summary:
Formation energy from the elements ... -450 meV per atom
Energy relative to the lowest polymorph listed for this composition ... 0 meV per atom

No. 2
A relaxed Pa2NiAu crystal, computed with PBE.

Structure (CIF):
```
data_Pa2NiAu
_cell_length_a 4.390
_cell_length_b 4.390
_cell_length_c 4.227
_cell_angle_alpha 90.00
_cell_angle_beta 90.00
_cell_angle_gamma 90.00
_symmetry_space_group_name_H-M 'P 4/m m m'
_symmetry_Int_Tables_number 123
_symmetry_space_group_name_Hall '-P 4 2'
loop_
_atom_site_label
_atom_site_type_symbol
_atom_site_fract_x
_atom_site_fract_y
_atom_site_fract_z
Pa1 Pa 0.000 0.500 0.000
Ni1 Ni 0.000 0.000 0.500
Au1 Au 0.500 0.500 0.500
```

Summary:
Formation energy from the elements ... -175 meV per atom
Energy relative to the lowest polymorph listed for this composition ... 17 meV per atom

No. 3
A relaxed Pa3Ni8Au crystal, computed with PBE.

Structure (CIF):
```
data_Pa3Ni8Au
_cell_length_a 4.9720
_cell_length_b 4.9720
_cell_length_c 24.7805
_cell_angle_alpha 90.00
_cell_angle_beta 90.00
_cell_angle_gamma 120.00
_symmetry_space_group_name_H-M 'R 3 m'
_symmetry_Int_Tables_number 160
_symmetry_space_group_name_Hall 'R 3 -2"'
loop_
_atom_site_label
_atom_site_type_symbol
_atom_site_fract_x
_atom_site_fract_y
_atom_site_fract_z
Pa1 Pa 0.0000 0.0000 0.0000
Pa2 Pa 0.0000 0.0000 0.1289
Pa3 Pa 0.0000 0.0000 0.6181
Ni1 Ni 0.0000 0.0000 0.3114
Ni2 Ni 0.0000 0.0000 0.8111
Ni3 Ni 0.0008 0.5004 0.0614
Ni4 Ni 0.0025 0.5013 0.5614
Au1 Au 0.0000 0.0000 0.4962
```

Summary:
Formation energy from the elements ... -430 meV per atom
Energy relative to the lowest polymorph listed for this composition ... 0 meV per atom

No. 4
A relaxed Pa6Ni6Au crystal, computed with PBE.

Structure (CIF):
```
data_Pa6Ni6Au
_cell_length_a 5.271
_cell_length_b 9.277
_cell_length_c 9.870
_cell_angle_alpha 90.00
_cell_angle_beta 90.00
_cell_angle_gamma 90.00
_symmetry_space_group_name_H-M 'I m m m'
_symmetry_Int_Tables_number 71
_symmetry_space_group_name_Hall '-I 2 2'
loop_
_atom_site_label
_atom_site_type_symbol
_atom_site_fract_x
_atom_site_fract_y
_atom_site_fract_z
Pa1 Pa 0.000 0.000 0.179
Pa2 Pa 0.000 0.324 0.000
Pa3 Pa 0.000 0.334 0.500
Ni1 Ni 0.000 0.500 0.246
Ni2 Ni 0.250 0.250 0.250
Au1 Au 0.000 0.000 0.500
```

Summary:
Formation energy from the elements ... -244 meV per atom

No. 5
A relaxed PaNiAu2 crystal, computed with PBE.

Structure (CIF):
```
data_PaNiAu2
_cell_length_a 3.319
_cell_length_b 3.319
_cell_length_c 6.706
_cell_angle_alpha 90.00
_cell_angle_beta 90.00
_cell_angle_gamma 90.00
_symmetry_space_group_name_H-M 'P 4/m m m'
_symmetry_Int_Tables_number 123
_symmetry_space_group_name_Hall '-P 4 2'
loop_
_atom_site_label
_atom_site_type_symbol
_atom_site_fract_x
_atom_site_fract_y
_atom_site_fract_z
Pa1 Pa 0.000 0.000 0.000
Ni1 Ni 0.000 0.000 0.500
Au1 Au 0.500 0.500 0.292
```

Summary:
Formation energy from the elements ... -170 meV per atom
Energy relative to the lowest polymorph listed for this composition ... 280 meV per atom

No. 6
A relaxed PaNi9Au2 crystal, computed with PBE.

Structure (CIF):
```
data_PaNi9Au2
_cell_length_a 8.169
_cell_length_b 8.169
_cell_length_c 4.772
_cell_angle_alpha 90.00
_cell_angle_beta 90.00
_cell_angle_gamma 90.00
_symmetry_space_group_name_H-M 'P 4/m b m'
_symmetry_Int_Tables_number 127
_symmetry_space_group_name_Hall '-P 4 2ab'
loop_
_atom_site_label
_atom_site_type_symbol
_atom_site_fract_x
_atom_site_fract_y
_atom_site_fract_z
Pa1 Pa 0.000 0.000 0.000
Ni1 Ni 0.000 0.500 0.500
Ni2 Ni 0.063 0.204 0.500
Ni3 Ni 0.178 0.678 0.246
Au1 Au 0.122 0.378 0.000
```

Summary:
Formation energy from the elements ... -171 meV per atom

No. 7
A relaxed Pa2NiAu crystal, computed with PBE.

Structure (CIF):
```
data_Pa2NiAu
_cell_length_a 6.971
_cell_length_b 6.971
_cell_length_c 6.971
_cell_angle_alpha 90.00
_cell_angle_beta 90.00
_cell_angle_gamma 90.00
_symmetry_space_group_name_H-M 'F m -3 m'
_symmetry_Int_Tables_number 225
_symmetry_space_group_name_Hall '-F 4 2 3'
loop_
_atom_site_label
_atom_site_type_symbol
_atom_site_fract_x
_atom_site_fract_y
_atom_site_fract_z
Pa1 Pa 0.250 0.250 0.250
Ni1 Ni 0.000 0.000 0.000
Au1 Au 0.000 0.000 0.500
```

Summary:
Formation energy from the elements ... -79 meV per atom
Energy relative to the lowest polymorph listed for this composition ... 113 meV per atom

No. 8
A relaxed Pa2Ni2Au crystal, computed with PBE.

Structure (CIF):
```
data_Pa2Ni2Au
_cell_length_a 7.301
_cell_length_b 7.301
_cell_length_c 3.576
_cell_angle_alpha 90.00
_cell_angle_beta 90.00
_cell_angle_gamma 90.00
_symmetry_space_group_name_H-M 'P 4/m b m'
_symmetry_Int_Tables_number 127
_symmetry_space_group_name_Hall '-P 4 2ab'
loop_
_atom_site_label
_atom_site_type_symbol
_atom_site_fract_x
_atom_site_fract_y
_atom_site_fract_z
Pa1 Pa 0.173 0.327 0.000
Ni1 Ni 0.126 0.626 0.500
Au1 Au 0.000 0.000 0.500
```

Summary:
Formation energy from the elements ... -424 meV per atom

No. 9
A relaxed PaNiAu crystal, computed with PBE.

Structure (CIF):
```
data_PaNiAu
_cell_length_a 6.201
_cell_length_b 5.209
_cell_length_c 7.617
_cell_angle_alpha 90.00
_cell_angle_beta 112.89
_cell_angle_gamma 90.00
_symmetry_space_group_name_H-M 'P 1 21/c 1'
_symmetry_Int_Tables_number 14
loop_
_symmetry_equiv_pos_as_xyz
'x,y,z'
'-x,-y,-z'
'-x,y+1/2,-z+1/2'
'x,-y+1/2,z+1/2'
loop_
_atom_site_label
_atom_site_type_symbol
_atom_site_fract_x
_atom_site_fract_y
_atom_site_fract_z
Pa1 Pa 0.184 0.114 0.370
Ni1 Ni 0.153 0.643 0.495
Au1 Au 0.418 0.583 0.293
```

Summary:
Formation energy from the elements ... -394 meV per atom
Energy relative to the lowest polymorph listed for this composition ... 0 meV per atom

No. 10
A relaxed Pa3Ni8Au crystal, computed with PBE.

Structure (CIF):
```
data_Pa3Ni8Au
_cell_length_a 4.9584
_cell_length_b 4.9584
_cell_length_c 8.3324
_cell_angle_alpha 90.00
_cell_angle_beta 90.00
_cell_angle_gamma 120.00
_symmetry_space_group_name_H-M 'P 3 m 1'
_symmetry_Int_Tables_number 156
loop_
_symmetry_equiv_pos_as_xyz
'x,y,z'
'-y,x-y,z'
'-x+y,-x,z'
'-y,-x,z'
'-x+y,y,z'
'x,x-y,z'
loop_
_atom_site_label
_atom_site_type_symbol
_atom_site_fract_x
_atom_site_fract_y
_atom_site_fract_z
Pa1 Pa 0.0000 0.0000 0.0000
Pa2 Pa 0.0000 0.0000 0.3919
Pa3 Pa 0.3333 0.6667 0.8498
Ni1 Ni 0.0012 0.5006 0.1892
Ni2 Ni 0.3355 0.1677 0.6883
Ni3 Ni 0.6667 0.3333 0.4374
Ni4 Ni 0.6667 0.3333 0.9469
Au1 Au 0.3333 0.6667 0.4877
```

Summary:
Formation energy from the elements ... -415 meV per atom
Energy relative to the lowest polymorph listed for this composition ... 15 meV per atom

No. 11
A relaxed PaNiPbAu crystal, computed with PBE.

Structure (CIF):
```
data_PaNiPbAu
_cell_length_a 6.936
_cell_length_b 6.936
_cell_length_c 6.936
_cell_angle_alpha 90.00
_cell_angle_beta 90.00
_cell_angle_gamma 90.00
_symmetry_space_group_name_H-M 'F -4 3 m'
_symmetry_Int_Tables_number 216
_symmetry_space_group_name_Hall 'F -4 2 3'
loop_
_atom_site_label
_atom_site_type_symbol
_atom_site_fract_x
_atom_site_fract_y
_atom_site_fract_z
Pa1 Pa 0.000 0.000 0.000
Ni1 Ni 0.250 0.250 0.250
Pb1 Pb 0.000 0.000 0.500
Au1 Au 0.250 0.250 0.750
```

Summary:
Formation energy from the elements ... -153 meV per atom

No. 12
A relaxed PmPaNiAu crystal, computed with PBE.

Structure (CIF):
```
data_PmPaNiAu
_cell_length_a 7.097
_cell_length_b 7.097
_cell_length_c 7.097
_cell_angle_alpha 90.00
_cell_angle_beta 90.00
_cell_angle_gamma 90.00
_symmetry_space_group_name_H-M 'F -4 3 m'
_symmetry_Int_Tables_number 216
_symmetry_space_group_name_Hall 'F -4 2 3'
loop_
_atom_site_label
_atom_site_type_symbol
_atom_site_fract_x
_atom_site_fract_y
_atom_site_fract_z
Pm1 Pm 0.000 0.000 0.000
Pa1 Pa 0.000 0.000 0.500
Ni1 Ni 0.250 0.250 0.750
Au1 Au 0.250 0.250 0.250
```

Summary:
Formation energy from the elements ... -205 meV per atom

Total moment, respectively: 0.00 0.00 0.00 0.00 0.00 0.21 0.00 0.00 0.00 0.00 0.00 0.13 μB/atom.
V, respectively: 298.4 81.5 530.5 482.7 73.9 318.5 338.7 190.6 226.7 177.4 333.7 357.4 Å³ per cell.